# 1
VASP calculation (GGA-PBE) on an optimized crystal structure of LaScAl2.

Properties
* E_form: -0.087 eV per atom
* electronic total energy: -57.3 eV for the cell shown
* V: 24.2 A^3/atom
* relative energy among the computed polymorphs: 310 meV/atom

Structure (CIF):
```
data_LaScAl2
_space_group_name_H-M_alt 'R -3 m'
_space_group_IT_number 166
_space_group_name_Hall '-R 3 2"'
_cell_length_a 3.3645
_cell_length_b 3.3645
_cell_length_c 29.6519
_cell_angle_alpha 90.00
_cell_angle_beta 90.00
_cell_angle_gamma 120.00
loop_
_atom_site_label
_atom_site_fract_x
_atom_site_fract_y
_atom_site_fract_z
La1 0.0000 0.0000 0.0000
Sc1 0.0000 0.0000 0.5000
Al1 0.0000 0.0000 0.2430
```

---

# 2
VASP calculation (GGA-PBE) on an optimized crystal structure of La12ScAl3.

Properties
* E_form: -0.121 eV per atom
* electronic total energy: -78.6 eV for the cell shown
* V: 31.5 A^3/atom

Structure (CIF):
```
data_La12ScAl3
_space_group_name_H-M_alt 'P 4/m m m'
_space_group_IT_number 123
_space_group_name_Hall '-P 4 2'
_cell_length_a 5.001
_cell_length_b 5.001
_cell_length_c 20.122
_cell_angle_alpha 90.00
_cell_angle_beta 90.00
_cell_angle_gamma 90.00
loop_
_atom_site_label
_atom_site_fract_x
_atom_site_fract_y
_atom_site_fract_z
La1 0.000 0.000 0.000
La2 0.000 0.000 0.246
La3 0.000 0.000 0.500
La4 0.000 0.500 0.123
La5 0.000 0.500 0.370
Sc1 0.500 0.500 0.500
Al1 0.500 0.500 0.000
Al2 0.500 0.500 0.246
```